Material: Ba2SiP
Method: DFT, PBE
State: optimized geometry

abc: 7.7822 7.7822 7.7822
angles: 90.00 90.00 90.00
Closest atoms and distances in Å follow each position.
Space group F-43m (No. 216)
Symmetry-distinct sites (fractional):
Ba1 0.0000 0.0000 0.0000 [4 per cell]  4 Ba 3.37, 4 P 3.37
Ba2 0.2500 0.2500 0.2500 [4 per cell]  4 Si 3.37, 4 Ba 3.37
Si1 0.0000 0.0000 0.5000 [4 per cell]  4 P 3.37, 4 Ba 3.37
P1 0.2500 0.2500 0.7500 [4 per cell]  4 Ba 3.37, 4 Si 3.37

Computed properties:
calculated volume	29.5	Å³ per atom
formation energy without anion corrections	142	meV per atom
Fermi-level density of states	16.9	states/eV per cell
ΔE to the lowest computed polymorph	0.768	eV/atom

***

Material: BaSiP2
Method: DFT, PBE
State: optimized geometry

abc: 3.7210 3.7210 6.3625
angles: 90.00 90.00 90.00
Closest atoms and distances in Å follow each position.
Space group P4/mmm (No. 123)
Symmetry-distinct sites (fractional):
Ba1 0.0000 0.0000 0.0000 [1 per cell]  2 Si 3.18, 8 P 3.36
Si1 0.0000 0.0000 0.5000 [1 per cell]  8 P 2.85, 2 Ba 3.18
P1 0.5000 0.5000 0.3287 [2 per cell]  1 P 2.18

Computed properties:
calculated volume	22.0	Å³ per atom
formation energy without anion corrections	-107	meV per atom
Fermi-level density of states	1.2	states/eV per cell

***

Material: BaSrSiP2
Method: DFT, PBE
State: optimized geometry

abc: 7.3453 5.1230 8.3200
angles: 90.00 105.56 90.00
Closest atoms and distances in Å follow each position.
Space group P2/c (No. 13)
Symmetry-distinct sites (fractional):
Ba1 0.0000 0.2250 0.2500 [2 per cell]  6 P 3.20-3.44
Sr1 0.5000 0.4734 0.7500 [2 per cell]  4 P 3.05-3.06, 4 Si 3.19-3.41
Si1 0.5000 0.0000 0.0000 [2 per cell]  2 P 2.21
P1 0.2436 0.2462 0.9505 [4 per cell]  1 Si 2.21

Computed properties:
calculated volume	30.2	Å³ per atom
formation energy without anion corrections	-518	meV per atom
Fermi-level density of states	7.7	states/eV per cell

***

Please write out number 1 again, unchanged.
Material: Ba2SiP
Method: DFT, PBE
State: optimized geometry

abc: 7.7822 7.7822 7.7822
angles: 90.00 90.00 90.00
Closest atoms and distances in Å follow each position.
Space group F-43m (No. 216)
Symmetry-distinct sites (fractional):
Ba1 0.0000 0.0000 0.0000 [4 per cell]  4 Ba 3.37, 4 P 3.37
Ba2 0.2500 0.2500 0.2500 [4 per cell]  4 Si 3.37, 4 Ba 3.37
Si1 0.0000 0.0000 0.5000 [4 per cell]  4 P 3.37, 4 Ba 3.37
P1 0.2500 0.2500 0.7500 [4 per cell]  4 Ba 3.37, 4 Si 3.37

Computed properties:
calculated volume	29.5	Å³ per atom
formation energy without anion corrections	142	meV per atom
Fermi-level density of states	16.9	states/eV per cell
ΔE to the lowest computed polymorph	0.768	eV/atom